1.
Entry from Alexandria via LeMat-Bulk: an optimized crystal structure of HoBi5 (PBE-GGA).

Electronic total energy: -4.19 eV/atom
Energy of formation from the pure elements: -196 meV per atom

abc: 4.8187 4.6934 8.5581
angles: 105.91 90.00 90.00
Last column: nearest neighbours and their distance in Å.
Positions (direct):
Bi 0.5000 0.8341 0.6683  8 Bi 3.37-3.63, 2 Ho 3.64
Bi 0.0000 0.6507 0.3014  6 Bi 3.37-3.46, 2 Ho 3.41
Bi 0.5000 0.5000 0.0000  4 Ho 3.36, 8 Bi 3.46-3.60
Bi 0.0000 0.3493 0.6986  6 Bi 3.37-3.46, 2 Ho 3.41
Bi 0.5000 0.1659 0.3317  8 Bi 3.37-3.63, 2 Ho 3.64
Ho 0.0000 0.0000 0.0000  12 Bi 3.36-3.64


2.
Entry from Alexandria via LeMat-Bulk: an optimized crystal structure of HoBi2 (PBE-GGA).

Electronic total energy: -4.63 eV/atom
Energy of formation from the pure elements: -514 meV per atom

abc: 4.3073 7.8203 10.8080
angles: 90.00 90.00 90.00
Last column: nearest neighbours and their distance in Å.
Positions (direct):
Ho 0.7500 0.7766 0.1522  8 Bi 3.23-3.39
Ho 0.2500 0.7234 0.6522  8 Bi 3.23-3.39
Ho 0.7500 0.2766 0.3478  8 Bi 3.23-3.39
Ho 0.2500 0.2234 0.8478  8 Bi 3.23-3.39
Bi 0.7500 0.4166 0.6726  4 Ho 3.23-3.24, 2 Bi 3.34
Bi 0.2500 0.0834 0.1726  4 Ho 3.23-3.24, 2 Bi 3.34
Bi 0.7500 0.9166 0.8274  4 Ho 3.23-3.24, 2 Bi 3.34
Bi 0.2500 0.5834 0.3274  4 Ho 3.23-3.24, 2 Bi 3.34
Bi 0.7500 0.3651 0.0530  4 Bi 3.23-3.34, 4 Ho 3.26-3.39
Bi 0.2500 0.1349 0.5530  4 Bi 3.23-3.34, 4 Ho 3.26-3.39
Bi 0.7500 0.8651 0.4470  4 Bi 3.23-3.34, 4 Ho 3.26-3.39
Bi 0.2500 0.6349 0.9470  4 Bi 3.23-3.34, 4 Ho 3.26-3.39


3.
Entry from Alexandria via LeMat-Bulk: an optimized crystal structure of Ho3Bi (PBE-GGA).

Electronic total energy: -4.72 eV/atom
Energy of formation from the pure elements: -318 meV per atom

abc: 4.8372 4.8372 4.8372
angles: 90.00 90.00 90.00
Last column: nearest neighbours and their distance in Å.
Positions (direct):
Ho 0.0000 0.5000 0.5000  4 Bi 3.42, 8 Ho 3.42
Ho 0.5000 0.0000 0.5000  8 Ho 3.42, 4 Bi 3.42
Ho 0.5000 0.5000 0.0000  8 Ho 3.42, 4 Bi 3.42
Bi 0.0000 0.0000 0.0000  12 Ho 3.42


4.
Entry from Alexandria via LeMat-Bulk: an optimized crystal structure of Ho5Bi3 (PBE-GGA).

Electronic total energy: -4.98 eV/atom
Energy of formation from the pure elements: -663 meV per atom

abc: 8.2572 9.4784 11.9749
angles: 90.00 90.00 90.00
Last column: nearest neighbours and their distance in Å.
Positions (direct):
Ho 0.8112 0.5627 0.0639  4 Bi 3.08-3.43, 1 Ho 3.34
Ho 0.6888 0.9373 0.5639  4 Bi 3.08-3.43, 1 Ho 3.34
Ho 0.1888 0.0627 0.9361  4 Bi 3.08-3.43, 1 Ho 3.34
Ho 0.3112 0.4373 0.4361  4 Bi 3.08-3.43, 1 Ho 3.34
Ho 0.1888 0.4373 0.9361  4 Bi 3.08-3.43, 1 Ho 3.34
Ho 0.3112 0.0627 0.4361  4 Bi 3.08-3.43, 1 Ho 3.34
Ho 0.8112 0.9373 0.0639  4 Bi 3.08-3.43, 1 Ho 3.34
Ho 0.6888 0.5627 0.5639  4 Bi 3.08-3.43, 1 Ho 3.34
Ho 0.1723 0.7500 0.2271  6 Bi 3.12-3.46
Ho 0.3277 0.7500 0.7271  6 Bi 3.12-3.46
Ho 0.8277 0.2500 0.7729  6 Bi 3.12-3.46
Ho 0.6723 0.2500 0.2729  6 Bi 3.12-3.46
Ho 0.4796 0.7500 0.0048  5 Bi 3.15-3.22, 2 Ho 3.34
Ho 0.0204 0.7500 0.5048  5 Bi 3.15-3.22, 2 Ho 3.34
Ho 0.5204 0.2500 0.9952  5 Bi 3.15-3.22, 2 Ho 3.34
Ho 0.9796 0.2500 0.4952  5 Bi 3.15-3.22, 2 Ho 3.34
Ho 0.6614 0.7500 0.2897  5 Bi 3.07-3.36
Ho 0.8386 0.7500 0.7897  5 Bi 3.07-3.36
Ho 0.3386 0.2500 0.7103  5 Bi 3.07-3.36
Ho 0.1614 0.2500 0.2103  5 Bi 3.07-3.36
Bi 0.3984 0.7500 0.4708  7 Ho 3.07-3.19
Bi 0.1016 0.7500 0.9708  7 Ho 3.07-3.19
Bi 0.6016 0.2500 0.5292  7 Ho 3.07-3.19
Bi 0.8984 0.2500 0.0292  7 Ho 3.07-3.19
Bi 0.9376 0.5077 0.3247  9 Ho 3.20-3.56
Bi 0.5624 0.9923 0.8247  9 Ho 3.20-3.56
Bi 0.0624 0.0077 0.6753  9 Ho 3.20-3.56
Bi 0.4376 0.4923 0.1753  9 Ho 3.20-3.56
Bi 0.0624 0.4923 0.6753  9 Ho 3.20-3.56
Bi 0.4376 0.0077 0.1753  9 Ho 3.20-3.56
Bi 0.9376 0.9923 0.3247  9 Ho 3.20-3.56
Bi 0.5624 0.5077 0.8247  9 Ho 3.20-3.56


5.
Entry from Alexandria via LeMat-Bulk: an optimized crystal structure of Ho3Bi (PBE-GGA).

Electronic total energy: -4.67 eV/atom
Energy of formation from the pure elements: -267 meV per atom

abc: 3.6984 5.3229 5.9882
angles: 90.00 90.00 90.00
Last column: nearest neighbours and their distance in Å.
Positions (direct):
Bi 0.0000 0.5000 0.3418  10 Ho 3.34-3.58, 2 Bi 3.70
Ho 0.0000 0.0000 0.9959  10 Ho 3.35-3.70, 2 Bi 3.37
Ho 0.5000 0.0000 0.4754  4 Bi 3.34, 8 Ho 3.41-3.70
Ho 0.5000 0.5000 0.8535  8 Ho 3.35-3.70, 4 Bi 3.46-3.58


6.
Entry from Alexandria via LeMat-Bulk: an optimized crystal structure of HoBi3 (PBE-GGA).

Electronic total energy: -4.40 eV/atom
Energy of formation from the pure elements: -346 meV per atom

abc: 4.5309 4.6765 6.3108
angles: 90.00 90.00 90.00
Last column: nearest neighbours and their distance in Å.
Positions (direct):
Bi 0.5000 0.2522 0.0000  4 Ho 3.21-3.31, 2 Bi 3.29
Bi 0.5000 0.4501 0.5000  4 Bi 3.07-3.29
Bi 0.0000 0.8934 0.5000  2 Bi 3.07, 2 Ho 3.24
Ho 0.0000 0.7376 0.0000  6 Bi 3.21-3.31


7.
Entry from Alexandria via LeMat-Bulk: an optimized crystal structure of Ho5Bi2 (PBE-GGA).

Electronic total energy: -4.78 eV/atom
Energy of formation from the pure elements: -400 meV per atom

abc: 6.4804 8.1306 8.8154
angles: 95.58 111.57 90.00
Last column: nearest neighbours and their distance in Å.
Positions (direct):
Ho 0.2231 0.4403 0.2064  2 Bi 3.19-3.20, 1 Ho 3.45
Ho 0.0168 0.0597 0.7936  2 Bi 3.19-3.20, 1 Ho 3.45
Ho 0.1501 0.6969 0.5504  3 Bi 3.15-3.25, 2 Ho 3.47
Ho 0.5998 0.8031 0.4496  3 Bi 3.15-3.25, 2 Ho 3.47
Ho 0.8499 0.3031 0.4496  3 Bi 3.15-3.25, 2 Ho 3.47
Ho 0.4002 0.1969 0.5504  3 Bi 3.15-3.25, 2 Ho 3.47
Ho 0.9832 0.9403 0.2064  2 Bi 3.19-3.20, 1 Ho 3.45
Ho 0.7769 0.5597 0.7936  2 Bi 3.19-3.20, 1 Ho 3.45
Ho 0.6726 0.2500 0.0000  4 Bi 3.06-3.10
Ho 0.3274 0.7500 0.0000  4 Bi 3.06-3.10
Bi 0.2368 0.4116 0.7985  7 Ho 3.06-3.25
Bi 0.4384 0.0884 0.2015  7 Ho 3.06-3.25
Bi 0.7632 0.5884 0.2015  7 Ho 3.06-3.25
Bi 0.5616 0.9116 0.7985  7 Ho 3.06-3.25


8.
Entry from Alexandria via LeMat-Bulk: an optimized crystal structure of Ho3Bi2 (PBE-GGA).

Electronic total energy: -4.85 eV/atom
Energy of formation from the pure elements: -553 meV per atom

abc: 7.9741 7.9442 9.7276
angles: 90.00 90.00 90.00
Last column: nearest neighbours and their distance in Å.
Positions (direct):
Ho 0.4846 0.8775 0.8525  4 Bi 3.08-3.35
Ho 0.0154 0.3775 0.6475  4 Bi 3.08-3.35
Ho 0.4846 0.6225 0.1475  4 Bi 3.08-3.35
Ho 0.0154 0.1225 0.3525  4 Bi 3.08-3.35
Ho 0.5154 0.1225 0.1475  4 Bi 3.08-3.35
Ho 0.9846 0.6225 0.3525  4 Bi 3.08-3.35
Ho 0.5154 0.3775 0.8525  4 Bi 3.08-3.35
Ho 0.9846 0.8775 0.6475  4 Bi 3.08-3.35
Ho 0.8640 0.7500 0.0000  4 Bi 3.24-3.26, 2 Ho 3.50
Ho 0.6360 0.2500 0.5000  4 Bi 3.24-3.26, 2 Ho 3.50
Ho 0.1360 0.2500 0.0000  4 Bi 3.24-3.26, 2 Ho 3.50
Ho 0.3640 0.7500 0.5000  4 Bi 3.24-3.26, 2 Ho 3.50
Bi 0.1991 0.8880 0.1500  6 Ho 3.08-3.35
Bi 0.3009 0.3880 0.3500  6 Ho 3.08-3.35
Bi 0.1991 0.6120 0.8500  6 Ho 3.08-3.35
Bi 0.3009 0.1120 0.6500  6 Ho 3.08-3.35
Bi 0.8009 0.1120 0.8500  6 Ho 3.08-3.35
Bi 0.6991 0.6120 0.6500  6 Ho 3.08-3.35
Bi 0.8009 0.3880 0.1500  6 Ho 3.08-3.35
Bi 0.6991 0.8880 0.3500  6 Ho 3.08-3.35


9.
Entry from Alexandria via LeMat-Bulk: an optimized crystal structure of HoBi4 (PBE-GGA).

Electronic total energy: -3.61 eV/atom
Energy of formation from the pure elements: 412 meV per atom

abc: 5.8490 5.8490 5.8490
angles: 90.00 90.00 90.00
Last column: nearest neighbours and their distance in Å.
Positions (direct):
Ho 0.5000 0.5000 0.5000  6 Bi 2.92
Bi 0.0000 0.0000 0.0000  12 Bi 4.14
Bi 0.5000 0.0000 0.5000  2 Ho 2.92
Bi 0.0000 0.5000 0.5000  2 Ho 2.92
Bi 0.5000 0.5000 0.0000  2 Ho 2.92


10.
Entry from Alexandria via LeMat-Bulk: an optimized crystal structure of HoBi2 (PBE-GGA).

Electronic total energy: -4.35 eV/atom
Energy of formation from the pure elements: -235 meV per atom

abc: 5.2443 5.2443 9.0451
angles: 73.15 73.15 60.00
Last column: nearest neighbours and their distance in Å.
Positions (direct):
Ho 0.0722 0.0722 0.7835  7 Bi 3.12-3.45
Ho 0.9278 0.9278 0.2165  7 Bi 3.12-3.45
Bi 0.1968 0.1968 0.4097  4 Ho 3.19-3.45, 3 Bi 3.40
Bi 0.8032 0.8032 0.5903  4 Ho 3.19-3.45, 3 Bi 3.40
Bi 0.3767 0.3767 0.8697  3 Ho 3.12
Bi 0.6232 0.6232 0.1303  3 Ho 3.12


11.
Entry from Alexandria via LeMat-Bulk: an optimized crystal structure of HoBi3 (PBE-GGA).

Electronic total energy: -4.38 eV/atom
Energy of formation from the pure elements: -322 meV per atom

abc: 4.5866 4.7127 6.4847
angles: 111.31 110.71 90.00
Last column: nearest neighbours and their distance in Å.
Positions (direct):
Bi 0.2469 0.6600 0.4939  7 Bi 3.29-3.66, 4 Ho 3.61-3.65
Bi 0.5000 0.4207 0.0000  4 Ho 3.29, 6 Bi 3.59-3.66
Bi 0.7531 0.1661 0.5061  7 Bi 3.29-3.66, 4 Ho 3.61-3.65
Ho 0.0000 0.9199 0.0000  12 Bi 3.29-3.65


12.
Entry from Alexandria via LeMat-Bulk: an optimized crystal structure of Ho4Bi (PBE-GGA).

Electronic total energy: -4.10 eV/atom
Energy of formation from the pure elements: 338 meV per atom

abc: 5.7750 5.7750 5.7750
angles: 90.00 90.00 90.00
Last column: nearest neighbours and their distance in Å.
Positions (direct):
Bi 0.5000 0.5000 0.5000  6 Ho 2.89
Ho 0.0000 0.0000 0.0000  12 Ho 4.08
Ho 0.5000 0.0000 0.5000  2 Bi 2.89
Ho 0.0000 0.5000 0.5000  2 Bi 2.89
Ho 0.5000 0.5000 0.0000  2 Bi 2.89